This record from the Alexandria database describes a geometry-optimized Gd3Mo5O12 structure. The functional is GGA+U.

Structure (CIF):
```
data_Gd3Mo5O12
_cell_length_a 13.263
_cell_length_b 13.263
_cell_length_c 13.263
_cell_angle_alpha 90.00
_cell_angle_beta 90.00
_cell_angle_gamma 90.00
_space_group_name_H-M_alt 'I a -3 d'
_space_group_IT_number 230
_space_group_name_Hall '-I 4bd 2c 3'
loop_
_atom_site_label
_atom_site_type_symbol
_atom_site_fract_x
_atom_site_fract_y
_atom_site_fract_z
Gd1 Gd 0.000 0.250 0.125
Mo1 Mo 0.000 0.000 0.000
Mo2 Mo 0.000 0.250 0.375
O1 O 0.014 0.052 0.655
```

Values from the calculation:
E_tot   -1433.70 eV/cell